(1)
Compound: LiEu2CoO4
Source: Alexandria via LeMat-Bulk
Functional: PBE+U
Structure: optimized geometry

Summary:
Calculated volume = 97 Å³ per cell
Total DFT energy (no corrections) = -7.83 eV/atom
Excess energy over the best structure of this formula in the dataset = 257.9 meV/atom

abc: 7.363 7.363 7.363
angles: 150.41 150.41 42.35
Sites, in units of the cell vectors:
O 0.005 0.505 0.500
O 0.817 0.817 0.000
O 0.183 0.183 0.000
Li 0.250 0.750 0.500
Eu 0.377 0.377 0.000
O 0.495 0.995 0.500
Co 0.000 0.000 0.000
Eu 0.623 0.623 0.000

(2)
Compound: LiEu2CoO4
Source: Alexandria via LeMat-Bulk
Functional: PBE+U
Structure: optimized geometry

Summary:
Calculated volume = 102 Å³ per cell
Total DFT energy (no corrections) = -8.09 eV/atom
Excess energy over the best structure of this formula in the dataset = 0.0 meV/atom

abc: 3.326 3.889 7.852
angles: 90.00 90.00 90.00
Sites, in units of the cell vectors:
Eu 0.000 0.000 0.692
O 0.500 0.000 0.926
O 0.000 0.500 0.112
O 0.500 0.500 0.662
Co 0.500 0.500 0.942
Eu 0.500 0.500 0.350
O 0.000 0.000 0.394
Li 0.000 0.000 0.091

Look up the calculated volume of the first one. 97 Å³ per cell

What is the total DFT energy (no corrections) in the second record? -8.09 eV/atom

Which of these has the lowest excess energy over the best structure of this formula in the dataset? number 2

Which of these has the lowest calculated volume? number 1